# 1
Density functional theory data (PBE) for a relaxed Li2PrAu2 crystal.

Output
total moment = 0.0 μB per formula unit
Fermi-level density of states = 2.399 states/eV per cell
E = -3.629 eV/atom
space group = P4/mmm
DFT formation energy = -0.60 eV per atom
energy above the lowest structure with this stoichiometry = 0.042 eV/f.u.

Unit cell a=4.007 b=4.007 c=6.546 alpha=90.00 beta=90.00 gamma=90.00
Positions (direct):
Li 0.000 0.500 0.000
Li 0.500 0.000 0.000
Pr 0.000 0.000 0.500
Au 0.500 0.500 0.277
Au 0.500 0.500 0.723

# 2
Density functional theory data (PBE) for a relaxed Li2Pr2Au crystal.

Output
total moment = 0.0 μB per formula unit
Fermi-level density of states = 7.873 states/eV per cell
E = -3.578 eV/atom
space group = Immm
DFT formation energy = -0.25 eV per atom

Unit cell a=4.830 b=5.017 c=9.951 alpha=90.00 beta=90.00 gamma=90.00
Positions (direct):
Li 0.000 0.242 0.000
Li 0.000 0.758 0.000
Li 0.500 0.258 0.500
Li 0.500 0.742 0.500
Pr 0.000 0.000 0.310
Pr 0.000 0.000 0.690
Pr 0.500 0.500 0.190
Pr 0.500 0.500 0.810
Au 0.000 0.500 0.500
Au 0.500 0.000 0.000

# 3
Density functional theory data (PBE) for a relaxed LiPr2Au4 crystal.

Output
total moment = 0.0 μB per formula unit
Fermi-level density of states = 8.290 states/eV per cell
E = -4.036 eV/atom
space group = I4/mmm
DFT formation energy = -0.52 eV per atom
energy above the lowest structure with this stoichiometry = 0.939 eV/f.u.

Unit cell a=4.677 b=4.677 c=15.366 alpha=90.00 beta=90.00 gamma=90.00
Positions (direct):
Li 0.000 0.000 0.000
Li 0.500 0.500 0.500
Pr 0.000 0.000 0.358
Pr 0.000 0.000 0.642
Pr 0.500 0.500 0.142
Pr 0.500 0.500 0.858
Au 0.000 0.000 0.162
Au 0.000 0.000 0.838
Au 0.000 0.500 0.000
Au 0.000 0.500 0.500
Au 0.500 0.000 0.000
Au 0.500 0.000 0.500
Au 0.500 0.500 0.338
Au 0.500 0.500 0.662

# 4
Density functional theory data (PBE) for a relaxed Li2PrAu3 crystal.

Output
total moment = 0.0 μB per formula unit
Fermi-level density of states = 6.211 states/eV per cell
E = -3.703 eV/atom
space group = P6_3/mmc
DFT formation energy = -0.63 eV per atom
energy above the lowest structure with this stoichiometry = 0.000 eV/f.u.

Unit cell a=4.535 b=4.535 c=13.379 alpha=90.00 beta=90.00 gamma=120.00
Positions (direct):
Li 0.333 0.667 0.068
Li 0.333 0.667 0.432
Li 0.667 0.333 0.568
Li 0.667 0.333 0.932
Pr 0.000 0.000 0.250
Pr 0.000 0.000 0.750
Au 0.000 0.000 0.000
Au 0.000 0.000 0.500
Au 0.333 0.667 0.626
Au 0.333 0.667 0.874
Au 0.667 0.333 0.126
Au 0.667 0.333 0.374

# 5
Density functional theory data (PBE) for a relaxed LiPr3Au2 crystal.

Output
total moment = 0.0 μB per formula unit
Fermi-level density of states = 9.801 states/eV per cell
E = -4.306 eV/atom
space group = Cmmm
DFT formation energy = -0.50 eV per atom

Unit cell a=5.165 b=15.997 c=3.854 alpha=90.00 beta=90.00 gamma=90.00
Positions (direct):
Li 0.000 0.000 0.000
Li 0.500 0.500 0.000
Pr 0.000 0.174 0.500
Pr 0.000 0.500 0.500
Pr 0.000 0.826 0.500
Pr 0.500 0.000 0.500
Pr 0.500 0.326 0.500
Pr 0.500 0.674 0.500
Au 0.000 0.348 0.000
Au 0.000 0.652 0.000
Au 0.500 0.152 0.000
Au 0.500 0.848 0.000

# 6
Density functional theory data (PBE) for a relaxed Li2PrAu2 crystal.

Output
total moment = 0.0 μB per formula unit
Fermi-level density of states = 4.194 states/eV per cell
E = -3.638 eV/atom
space group = I4/mmm
DFT formation energy = -0.61 eV per atom
energy above the lowest structure with this stoichiometry = 0.000 eV/f.u.

Unit cell a=4.001 b=4.001 c=13.154 alpha=90.00 beta=90.00 gamma=90.00
Positions (direct):
Li 0.000 0.500 0.250
Li 0.000 0.500 0.750
Li 0.500 0.000 0.250
Li 0.500 0.000 0.750
Pr 0.000 0.000 0.000
Pr 0.500 0.500 0.500
Au 0.000 0.000 0.389
Au 0.000 0.000 0.611
Au 0.500 0.500 0.111
Au 0.500 0.500 0.889

# 7
Density functional theory data (PBE) for a relaxed LiPrAu2 crystal.

Output
total moment = 0.0 μB per formula unit
Fermi-level density of states = 2.162 states/eV per cell
E = -3.893 eV/atom
space group = P4/mmm
DFT formation energy = -0.58 eV per atom

Unit cell a=4.903 b=4.903 c=3.739 alpha=90.00 beta=90.00 gamma=90.00
Positions (direct):
Li 0.000 0.000 0.000
Pr 0.500 0.500 0.000
Au 0.000 0.500 0.500
Au 0.500 0.000 0.500

# 8
Density functional theory data (PBE) for a relaxed Li2PrAu3 crystal.

Output
total moment = 0.0 μB per formula unit
Fermi-level density of states = 7.361 states/eV per cell
E = -3.647 eV/atom
space group = Cmcm
DFT formation energy = -0.57 eV per atom
energy above the lowest structure with this stoichiometry = 0.337 eV/f.u.

Unit cell a=6.858 b=6.858 c=5.322 alpha=90.00 beta=90.00 gamma=84.04
Positions (direct):
Li 0.223 0.223 0.000
Li 0.223 0.223 0.500
Li 0.777 0.777 0.000
Li 0.777 0.777 0.500
Pr 0.279 0.721 0.750
Pr 0.721 0.279 0.250
Au 0.055 0.945 0.250
Au 0.086 0.534 0.250
Au 0.466 0.914 0.250
Au 0.534 0.086 0.750
Au 0.914 0.466 0.750
Au 0.945 0.055 0.750